Na2CuSe2 after structural relaxation. Source: the Open Quantum Materials Database, functional GGA-PBE.

Crystal system ... monoclinic
DFT total energy ... -3.32 eV per atom
Symmetry ... C2/m, No. 12

Lattice parameters (Å, degrees): 3.6929 5.3599 6.2118 79.06 89.99 110.16
Sites, in units of the cell vectors:
Cu (0.5000, 0.0000, 0.0000)
Na (0.1580, 0.3160, 0.2926)
Na (0.8420, 0.6840, 0.7074)
Se (0.8835, 0.7671, 0.2228)
Se (0.1165, 0.2329, 0.7772)

=====

NaSmFeSe3 after structural relaxation. Source: the Open Quantum Materials Database, functional GGA-PBE.

Crystal system ... orthorhombic
Symmetry ... Cmcm, No. 63
Energy above the lowest structure with this stoichiometry ... 21.5 meV/atom

Lattice parameters (Å, degrees): 4.1000 7.0351 10.9987 90.00 90.00 73.06
Site moments in Bohr magnetons follow the coordinates.
Sites, in units of the cell vectors:
Fe (0.5274, 0.9453, 0.2500)  3.22
Fe (0.4726, 0.0547, 0.7500)  3.22
Na (0.2439, 0.5122, 0.2500)  0.00
Na (0.7561, 0.4878, 0.7500)  0.00
Se (0.6397, 0.7206, 0.0780)  0.12
Se (0.9194, 0.1611, 0.2500)  0.13
Se (0.6397, 0.7206, 0.4220)  0.12
Se (0.3603, 0.2794, 0.5780)  0.12
Se (0.0806, 0.8389, 0.7500)  0.13
Se (0.3603, 0.2794, 0.9220)  0.12
Sm (0.0000, 0.0000, 0.0000)  0.00
Sm (0.0000, 0.0000, 0.5000)  0.00

=====

ThPd4Au after structural relaxation. Source: the Open Quantum Materials Database, functional GGA-PBE.

Crystal system ... cubic
Energy relative to the elements ... -4.26 eV/f.u.
Symmetry ... F-43m, No. 216

Lattice parameters (Å, degrees): 5.3740 5.3740 5.3740 60.00 60.00 60.00
Sites, in units of the cell vectors:
Au (0.0000, 0.0000, 0.0000)
Pd (0.8763, 0.3746, 0.3746)
Pd (0.3746, 0.8763, 0.3746)
Pd (0.3746, 0.3746, 0.3746)
Pd (0.3746, 0.3746, 0.8763)
Th (0.7500, 0.7500, 0.7500)

=====

TbPr2Cd3Au3 after structural relaxation. Source: the Open Quantum Materials Database, functional GGA-PBE.

Crystal system ... orthorhombic
Energy relative to the elements ... -5.89 eV/f.u.
Symmetry ... Amm2, No. 38

Lattice parameters (Å, degrees): 4.0310 7.8989 7.8989 119.76 90.00 90.00
Sites, in units of the cell vectors:
Au (0.5000, 0.6648, 0.3400)
Au (0.5000, 0.3400, 0.6648)
Au (0.0000, 0.9971, 0.9971)
Cd (0.5000, 0.2599, 0.2599)
Cd (0.5000, 0.9973, 0.7412)
Cd (0.5000, 0.7412, 0.9973)
Pr (0.0000, 0.4050, 0.0002)
Pr (0.0000, 0.0002, 0.4050)
Tb (0.0000, 0.5945, 0.5945)

=====

Sb2Pd5 after structural relaxation. Source: the Open Quantum Materials Database, functional GGA-PBE.

Crystal system ... monoclinic
Symmetry ... C2/m, No. 12
Energy above the lowest structure with this stoichiometry ... 14.8 meV/atom

Lattice parameters (Å, degrees): 7.6554 7.6554 6.6426 115.44 115.44 44.14
Sites, in units of the cell vectors:
Pd (0.9114, 0.9148, 0.0755)
Pd (0.5213, 0.0226, 0.2437)
Pd (0.0194, 0.5247, 0.2438)
Pd (0.6128, 0.6158, 0.3104)
Pd (0.7498, 0.2502, 0.5000)
Pd (0.2470, 0.7530, 0.5000)
Pd (0.3842, 0.3872, 0.6896)
Pd (0.4753, 0.9806, 0.7562)
Pd (0.9774, 0.4787, 0.7563)
Pd (0.0852, 0.0886, 0.9245)
Sb (0.3911, 0.3944, 0.1040)
Sb (0.1287, 0.1319, 0.3632)
Sb (0.8681, 0.8713, 0.6368)
Sb (0.6056, 0.6089, 0.8960)

=====

SrLiPd after structural relaxation. Source: the Open Quantum Materials Database, functional GGA-PBE.

Crystal system ... cubic
Symmetry ... F-43m, No. 216
Energy above the lowest structure with this stoichiometry ... 579.7 meV/atom

Lattice parameters (Å, degrees): 4.9363 4.9363 4.9363 60.00 60.00 60.00
Sites, in units of the cell vectors:
Li (0.2500, 0.2500, 0.2500)
Pd (0.7500, 0.7500, 0.7500)
Sr (0.0000, 0.0000, 0.0000)

=====

ZnSnHgSe3 after structural relaxation. Source: the Open Quantum Materials Database, functional GGA-PBE.

Crystal system ... orthorhombic
Symmetry ... Cmcm, No. 63
Energy above the lowest structure with this stoichiometry ... 0.0 meV/atom

Lattice parameters (Å, degrees): 6.8897 6.8897 11.5656 90.00 90.00 33.85
Sites, in units of the cell vectors:
Hg (0.0000, 0.0000, 0.0000)
Hg (0.0000, 0.0000, 0.5000)
Se (0.3622, 0.3622, 0.0808)
Se (0.0928, 0.0928, 0.2500)
Se (0.3622, 0.3622, 0.4192)
Se (0.6378, 0.6378, 0.5808)
Se (0.9072, 0.9072, 0.7500)
Se (0.6378, 0.6378, 0.9192)
Sn (0.7669, 0.7669, 0.2500)
Sn (0.2331, 0.2331, 0.7500)
Zn (0.4772, 0.4772, 0.2500)
Zn (0.5228, 0.5228, 0.7500)

=====

KHgH2C2N2ClO after structural relaxation. Source: the Open Quantum Materials Database, functional GGA-PBE.

Crystal system ... orthorhombic
DFT total energy ... -5.41 eV per atom
Symmetry ... Pnma, No. 62

Lattice parameters (Å, degrees): 8.8627 4.1092 18.8188 90.00 90.00 90.00
Sites, in units of the cell vectors:
C (0.4523, 0.2500, 0.1394)
C (0.0142, 0.2500, 0.1435)
C (0.5142, 0.2500, 0.3565)
C (0.9523, 0.2500, 0.3606)
C (0.0477, 0.7500, 0.6394)
C (0.4858, 0.7500, 0.6435)
C (0.9858, 0.7500, 0.8565)
C (0.5477, 0.7500, 0.8606)
Cl (0.7376, 0.7500, 0.2367)
Cl (0.2376, 0.7500, 0.2633)
Cl (0.7624, 0.2500, 0.7367)
Cl (0.2624, 0.2500, 0.7633)
H (0.6209, 0.7500, 0.0743)
H (0.7628, 0.7500, 0.1208)
H (0.2628, 0.7500, 0.3792)
H (0.1209, 0.7500, 0.4257)
H (0.8791, 0.2500, 0.5743)
H (0.7372, 0.2500, 0.6208)
H (0.2372, 0.2500, 0.8792)
H (0.3791, 0.2500, 0.9257)
Hg (0.4820, 0.2500, 0.2481)
Hg (0.9820, 0.2500, 0.2519)
Hg (0.0180, 0.7500, 0.7481)
Hg (0.5180, 0.7500, 0.7519)
K (0.2195, 0.7500, 0.0201)
K (0.7195, 0.7500, 0.4799)
K (0.2805, 0.2500, 0.5201)
K (0.7805, 0.2500, 0.9799)
N (0.4343, 0.2500, 0.0778)
N (0.0316, 0.2500, 0.0819)
N (0.5316, 0.2500, 0.4181)
N (0.9343, 0.2500, 0.4222)
N (0.0657, 0.7500, 0.5778)
N (0.4684, 0.7500, 0.5819)
N (0.9684, 0.7500, 0.9181)
N (0.5657, 0.7500, 0.9222)
O (0.7306, 0.7500, 0.0706)
O (0.2306, 0.7500, 0.4294)
O (0.7694, 0.2500, 0.5706)
O (0.2694, 0.2500, 0.9294)